DFT (PBE) results for a geometry-optimized MnCd2Se3 structure.

For the raw formation energy, the calculation gives -0.556 eV per atom.

The structure belongs to space group Cc (No. 9); the cell edges are 7.449, 12.914 and 7.466 Å and the angles 90.00°, 109.43° and 90.00°. The inequivalent atoms are Mn at (0.000, 0.081, 0.000), Cd at (0.001, 0.247, 0.499), Cd at (0.499, 0.084, 0.499), Se at (0.116, 0.076, 0.363), Se at (0.120, 0.242, 0.880) and Se at (0.139, 0.416, 0.380).